DyTlI2, optimized geometry, DFT PBE; SG = R-3m, No. 166; E_form (uncorrected) = -0.77 eV per atom; uncorrected energy = -13.2 eV for the cell shown
1.0
-3.540 -0.647 -1.619
-0.261 -1.575 -3.608
-1.450 -11.138 2.811
I Tl Dy
2 1 1
Direct
0.106 0.106 0.683
0.894 0.894 0.317
0.000 0.000 0.000
0.500 0.500 0.500

=====

ErCd2Rh, optimized geometry, DFT PBE; SG = R-3m, No. 166; energy relative to the elements = 0.2156 eV per atom; uncorrected energy = -12.9 eV for the cell shown
1.0
3.081 0.000 0.000
1.541 2.668 0.000
1.541 0.889 10.646
Cd Rh Er
2 1 1
Direct
0.098 0.098 0.706
0.902 0.902 0.294
0.500 0.500 0.500
0.000 0.000 0.000

=====

Er5URu4, optimized geometry, DFT PBE; SG = C2/m, No. 12; energy relative to the elements = -0.3883 eV per atom; uncorrected energy = -75.1 eV for the cell shown
1.0
4.482 0.000 -1.232
-0.371 6.620 -1.350
-0.260 -0.037 7.818
Er U Ru
5 1 4
Direct
0.174 0.044 0.348
0.167 0.542 0.333
0.833 0.458 0.667
0.500 0.500 0.000
0.826 0.956 0.652
0.500 0.000 0.000
0.644 0.260 0.287
0.999 0.775 0.999
0.356 0.740 0.713
0.001 0.225 0.001

=====

KPmPbO3, optimized geometry, DFT PBE; SG = P2_1/m, No. 11; E_form (uncorrected) = -2.12 eV per atom; uncorrected energy = -74.3 eV for the cell shown
1.0
3.612 0.000 0.000
0.000 7.097 1.997
0.000 -0.685 9.932
K Pm Pb O
2 2 2 6
Direct
0.750 0.922 0.857
0.250 0.078 0.143
0.250 0.569 0.136
0.750 0.431 0.864
0.250 0.286 0.588
0.750 0.714 0.412
0.250 0.536 0.383
0.750 0.776 0.162
0.750 0.371 0.104
0.750 0.464 0.617
0.250 0.629 0.896
0.250 0.224 0.838

=====

HgMoOs, optimized geometry, DFT PBE; SG = I4mm, No. 107; energy relative to the elements = 0.3862 eV per atom; E above lowest polymorph = 0 meV/atom; uncorrected energy = -21.2 eV for the cell shown
1.0
-5.305 -2.009 -2.673
-2.631 -5.230 -2.248
3.167 3.205 4.362
Hg Mo Os
1 1 1
Direct
0.001 0.001 0.000
0.312 0.312 0.000
0.687 0.687 0.000

=====

TlReSn3, optimized geometry, DFT PBE; SG = Pm-3m, No. 221; energy relative to the elements = 0.3385 eV per atom; E above lowest polymorph = 0 meV/atom; uncorrected energy = -25.1 eV for the cell shown
1.0
-5.004 0.035 -1.587
1.553 -0.984 -4.917
-0.331 -5.156 0.928
Re Tl Sn
1 1 3
Direct
0.000 0.000 0.000
0.500 0.500 0.500
0.000 0.500 0.000
0.000 0.000 0.500
0.500 0.000 0.000

=====

Which formula does entry 1 have? DyTlI2

=====

uncorrected energy of number 3 (Er5URu4)? -75.1 eV for the cell shown